DyAl2V (GGA-PBE, relaxed); formation energy = 0.102 eV/atom; DFT total energy = -20.80 eV per formula unit; SG = R-3m (166); density of states at the Fermi level = 3.60 states/eV/cell
1.0
-0.661 2.361 -1.712
-0.284 -0.332 -2.958
-9.754 -1.160 -0.444
V Al Dy
1 2 1
direct
0.000 0.000 0.000
0.261 0.261 0.217
0.739 0.739 0.783
0.500 0.500 0.500


Dy6Al43W4 (GGA-PBE, relaxed); formation energy = -0.281 eV/atom; DFT total energy = -255.22 eV per formula unit; SG = P6_3/mcm (193); density of states at the Fermi level = 37.45 states/eV/cell
1.0
11.024 0.000 0.000
-5.512 9.547 0.000
0.000 0.000 17.680
Al Dy W
86 12 8
direct
0.552 0.405 0.250
0.394 0.158 0.336
0.840 0.840 0.885
0.254 0.254 0.531
0.840 0.840 0.615
0.606 0.842 0.664
0.764 0.158 0.836
0.754 0.246 0.000
0.606 0.764 0.164
0.254 0.000 0.469
0.000 0.746 0.969
0.746 0.746 0.031
0.493 0.246 0.500
0.754 0.246 0.500
0.754 0.507 0.000
0.746 0.746 0.469
0.507 0.754 0.000
0.667 0.333 0.625
0.000 0.254 0.469
0.160 0.000 0.885
0.158 0.764 0.836
0.246 0.754 0.500
0.842 0.606 0.664
0.254 0.000 0.031
0.246 0.493 0.500
0.000 0.746 0.531
0.595 0.448 0.750
0.236 0.842 0.336
0.000 0.840 0.385
0.148 0.000 0.250
0.254 0.254 0.969
0.840 0.000 0.385
0.246 0.754 0.000
0.000 0.160 0.885
0.853 0.405 0.750
0.667 0.333 0.125
0.764 0.606 0.336
0.158 0.394 0.336
0.160 0.160 0.115
0.746 0.000 0.531
0.764 0.158 0.664
0.764 0.606 0.164
0.507 0.754 0.500
0.746 0.000 0.969
0.754 0.507 0.500
0.606 0.764 0.336
0.333 0.667 0.125
0.606 0.842 0.836
0.595 0.147 0.250
0.493 0.246 0.000
0.236 0.842 0.164
0.333 0.667 0.625
0.667 0.333 0.875
0.333 0.667 0.875
0.147 0.552 0.750
0.160 0.160 0.385
0.158 0.394 0.164
0.667 0.333 0.375
0.000 0.852 0.750
0.448 0.595 0.750
0.394 0.158 0.164
0.160 0.000 0.615
0.000 0.148 0.250
0.448 0.853 0.250
0.852 0.000 0.750
0.842 0.236 0.336
0.236 0.394 0.836
0.405 0.552 0.250
0.853 0.448 0.250
0.000 0.160 0.615
0.246 0.493 0.000
0.394 0.236 0.836
0.000 0.254 0.031
0.842 0.236 0.164
0.236 0.394 0.664
0.158 0.764 0.664
0.552 0.147 0.750
0.147 0.595 0.250
0.405 0.853 0.750
0.148 0.148 0.750
0.842 0.606 0.836
0.840 0.000 0.115
0.852 0.852 0.250
0.394 0.236 0.664
0.000 0.840 0.115
0.333 0.667 0.375
0.000 0.469 0.596
0.531 0.531 0.904
0.531 0.531 0.596
0.000 0.531 0.096
0.469 0.000 0.904
0.531 0.000 0.096
0.469 0.000 0.596
0.469 0.469 0.096
0.000 0.531 0.404
0.531 0.000 0.404
0.000 0.469 0.904
0.469 0.469 0.404
0.271 0.000 0.750
0.000 0.271 0.750
0.000 0.000 0.500
0.000 0.000 0.000
0.000 0.729 0.250
0.729 0.000 0.250
0.729 0.729 0.750
0.271 0.271 0.250


DyAl2W (GGA-PBE, relaxed); formation energy = 0.150 eV/atom; DFT total energy = -24.44 eV per formula unit; SG = R-3m (166); density of states at the Fermi level = 2.74 states/eV/cell
1.0
-2.907 -0.437 -0.573
-0.903 -2.534 -1.318
-2.373 -5.161 8.143
Al Dy W
2 1 1
direct
0.260 0.260 0.221
0.740 0.740 0.779
0.500 0.500 0.500
0.000 0.000 0.000


DyAlW (GGA-PBE, relaxed); formation energy = 0.056 eV/atom; DFT total energy = -21.13 eV per formula unit; SG = P-62m (189); density of states at the Fermi level = 7.94 states/eV/cell
1.0
4.575 0.000 0.000
0.000 6.957 0.000
0.000 -3.479 6.025
Dy Al W
3 3 3
direct
0.000 0.430 0.000
0.000 0.570 0.570
0.000 0.000 0.430
0.000 0.000 0.000
0.500 0.667 0.333
0.500 0.333 0.667
0.500 0.212 0.212
0.500 0.000 0.788
0.500 0.788 0.000


DyYAl2 (GGA-PBE, relaxed); formation energy = -0.405 eV/atom; DFT total energy = -20.17 eV per formula unit; SG = Fm-3m (225); density of states at the Fermi level = 1.91 states/eV/cell
1.0
5.101 0.000 0.000
2.551 4.418 0.000
2.551 1.473 4.165
Dy Y Al
1 1 2
direct
0.500 0.500 0.500
0.000 0.000 0.000
0.250 0.250 0.250
0.750 0.750 0.750


Dy2YAl3 (GGA-PBE, relaxed); formation energy = -0.405 eV/atom; DFT total energy = -29.33 eV per formula unit; SG = P4/mmm (123); density of states at the Fermi level = 2.10 states/eV/cell
1.0
3.588 0.000 0.000
0.000 3.588 0.000
0.000 0.000 10.877
Al Dy Y
3 2 1
direct
0.000 0.000 0.000
0.000 0.000 0.333
0.000 0.000 0.667
0.500 0.500 0.834
0.500 0.500 0.166
0.500 0.500 0.500


Dy2YAl (GGA-PBE, relaxed); formation energy = -0.034 eV/atom; DFT total energy = -19.55 eV per formula unit; SG = Fm-3m (225); density of states at the Fermi level = 6.51 states/eV/cell
1.0
5.355 0.000 0.000
2.677 4.637 0.000
2.677 1.546 4.372
Dy Al Y
2 1 1
direct
0.250 0.250 0.250
0.750 0.750 0.750
0.000 0.000 0.000
0.500 0.500 0.500


Dy3YAl4 (GGA-PBE, relaxed); formation energy = -0.402 eV/atom; DFT total energy = -38.46 eV per formula unit; SG = P4/mmm (123); density of states at the Fermi level = 6.85 states/eV/cell
1.0
5.088 0.000 0.000
0.000 7.217 0.000
0.000 0.000 10.176
Dy Al Y
6 8 2
direct
0.500 0.000 0.750
0.500 0.000 0.250
0.000 0.000 0.000
0.500 0.500 0.250
0.500 0.500 0.750
0.000 0.000 0.500
0.999 0.750 0.250
0.999 0.250 0.250
0.500 0.250 0.000
0.001 0.750 0.750
0.001 0.250 0.750
0.500 0.250 0.500
0.500 0.750 0.500
0.500 0.750 0.000
0.000 0.500 0.000
0.000 0.500 0.500